w) Below is a geometry-optimized CoCuAg structure, with properties calculated at the GGA-PBE level.

Space group = No. 12
Volume = 14.34 Å³/atom

Cell: 4.2617 4.2617 8.9283 Å, 113.60 113.60 35.79°
Closest atoms and distances in Å follow each position.
Sites, in units of the cell vectors:
Co 0.1061 0.1061 0.4293  4 Cu 2.40-2.58, 5 Co 2.51-2.62
Co 0.8939 0.8939 0.5707  4 Cu 2.40-2.58, 5 Co 2.51-2.62
Cu 0.2387 0.2387 0.7250  4 Co 2.40-2.58, 3 Ag 2.57-2.66, 2 Cu 2.62
Cu 0.7613 0.7613 0.2750  4 Co 2.40-2.58, 3 Ag 2.57-2.66, 2 Cu 2.62
Ag 0.4145 0.4145 0.1075  3 Cu 2.57-2.66, 5 Ag 2.62-2.87
Ag 0.5855 0.5855 0.8925  3 Cu 2.57-2.66, 5 Ag 2.62-2.87


x) Below is a geometry-optimized CoCuAg structure, with properties calculated at the GGA-PBE level.

Space group = No. 156
Volume = 13.80 Å³/atom

Cell: 2.6848 2.6848 6.6323 Å, 90.00 90.00 120.00°
Closest atoms and distances in Å follow each position.
Sites, in units of the cell vectors:
Co 0.0000 0.0000 0.0000  3 Cu 2.53, 6 Co 2.68, 3 Ag 2.78
Cu 0.6667 0.3333 0.3009  3 Co 2.53, 6 Cu 2.68, 3 Ag 2.79
Ag 0.3333 0.6667 0.6512  6 Ag 2.68, 3 Co 2.78, 3 Cu 2.79


Relative calculated energies, zero for the most stable structure, unit meV/atom: w) 38; x) 0.


w) Below is a geometry-optimized CoCuAg structure, with properties calculated at the GGA-PBE level.

Space group = No. 216
Volume = 16.32 Å³/atom

Cell: 4.1065 4.1065 4.1065 Å, 60.00 60.00 60.00°
Closest atoms and distances in Å follow each position.
Sites, in units of the cell vectors:
Co 0.0000 0.0000 0.0000  4 Cu 2.51, 4 Ag 2.51
Cu 0.7500 0.7500 0.7500  4 Co 2.51
Ag 0.2500 0.2500 0.2500  4 Co 2.51


x) Below is a geometry-optimized CoCuAg structure, with properties calculated at the GGA-PBE level.

Space group = No. 44
Volume = 13.80 Å³/atom

Cell: 4.8566 4.8566 4.8566 Å, 147.91 136.76 54.85°
Closest atoms and distances in Å follow each position.
Sites, in units of the cell vectors:
Co 0.0000 0.0000 0.0000  4 Cu 2.54, 2 Co 2.68, 5 Ag 2.73-2.75
Cu 0.6392 0.6392 0.0000  4 Co 2.54, 2 Cu 2.68, 5 Ag 2.72-2.76
Ag 0.3192 0.3192 0.0000  2 Ag 2.68, 5 Cu 2.72-2.76, 5 Co 2.73-2.75


y) Below is a geometry-optimized CoCuAg structure, with properties calculated at the GGA-PBE level.

Space group = No. 107
Volume = 13.76 Å³/atom

Cell: 6.0000 6.0000 6.0000 Å, 154.06 154.06 37.01°
Closest atoms and distances in Å follow each position.
Sites, in units of the cell vectors:
Co 0.0000 0.0000 0.0000  4 Cu 2.52, 4 Co 2.69, 4 Ag 2.78
Cu 0.3554 0.3554 0.0000  4 Co 2.52, 4 Cu 2.69, 4 Ag 2.78
Ag 0.6775 0.6775 0.0000  4 Ag 2.69, 4 Co 2.78, 4 Cu 2.78


z) Below is a geometry-optimized CoCuAg structure, with properties calculated at the GGA-PBE level.

Space group = No. 156
Volume = 13.87 Å³/atom

Cell: 4.2665 4.2665 2.6388 Å, 90.00 90.00 120.00°
Closest atoms and distances in Å follow each position.
Sites, in units of the cell vectors:
Co 0.0000 0.0000 0.0000  3 Cu 2.53, 2 Co 2.64, 3 Ag 2.68
Cu 0.6667 0.3333 0.2230  3 Co 2.53, 2 Cu 2.64, 3 Ag 2.65
Ag 0.3333 0.6667 0.5968  2 Ag 2.64, 3 Cu 2.65, 6 Co 2.68-2.92


Relative calculated energies, zero for the most stable structure, unit meV/atom: w) 467; x) 75; y) 0; z) 111.


w) Below is a geometry-optimized Co3CuAg structure, with properties calculated at the GGA-PBE level.

Space group = No. 221
Volume = 16.24 Å³/atom

Cell: 4.3303 4.3303 4.3303 Å, 90.00 90.00 90.00°
Closest atoms and distances in Å follow each position.
Sites, in units of the cell vectors:
Co 0.0000 0.0000 0.5000  2 Cu 2.17
Co 0.0000 0.5000 0.0000  2 Cu 2.17
Co 0.5000 0.0000 0.0000  2 Cu 2.17
Cu 0.0000 0.0000 0.0000  6 Co 2.17
Ag 0.5000 0.5000 0.5000  12 Co 3.06


x) Below is a geometry-optimized Co3CuAg structure, with properties calculated at the GGA-PBE level.

Space group = No. 221
Volume = 19.77 Å³/atom

Cell: 4.6238 4.6238 4.6238 Å, 90.00 90.00 90.00°
Closest atoms and distances in Å follow each position.
Sites, in units of the cell vectors:
Co 0.0000 0.0000 0.5000  2 Ag 2.31
Co 0.0000 0.5000 0.0000  2 Ag 2.31
Co 0.5000 0.0000 0.0000  2 Ag 2.31
Cu 0.5000 0.5000 0.5000  12 Co 3.27
Ag 0.0000 0.0000 0.0000  6 Co 2.31


Relative calculated energies, zero for the most stable structure, unit meV/atom: w) 0; x) 636.


w) Below is a geometry-optimized La2CoCuAg structure, with properties calculated at the GGA-PBE level.

Space group = No. 11
Volume = 23.57 Å³/atom

Cell: 7.2472 4.6037 7.6741 Å, 90.00 113.01 90.00°
Closest atoms and distances in Å follow each position.
Sites, in units of the cell vectors:
La 0.1675 0.2500 0.3569  3 Co 2.86-3.19, 2 Cu 3.12, 2 Ag 3.16
La 0.2725 0.2500 0.9280  1 Co 2.44
La 0.7275 0.7500 0.0720  1 Co 2.44
La 0.8325 0.7500 0.6431  3 Co 2.86-3.19, 2 Cu 3.12, 2 Ag 3.16
Co 0.0516 0.7500 0.0437  2 Co 2.43, 1 La 2.44, 1 Cu 2.50
Co 0.9484 0.2500 0.9563  2 Co 2.43, 1 La 2.44, 1 Cu 2.50
Cu 0.4100 0.7500 0.2708  1 Co 2.50, 2 Ag 2.75
Cu 0.5900 0.2500 0.7292  1 Co 2.50, 2 Ag 2.75
Ag 0.3648 0.7500 0.6535  2 Cu 2.75
Ag 0.6352 0.2500 0.3465  2 Cu 2.75


x) Below is a geometry-optimized La2CoCuAg structure, with properties calculated at the GGA-PBE level.

Space group = No. 123
Volume = 25.00 Å³/atom

Cell: 5.1968 5.1968 4.6288 Å, 90.00 90.00 90.00°
Closest atoms and distances in Å follow each position.
Sites, in units of the cell vectors:
La 0.0000 0.5000 0.0000  2 Co 2.60
La 0.5000 0.0000 0.0000  2 Co 2.60
Co 0.0000 0.0000 0.0000  2 Cu 2.31
Cu 0.0000 0.0000 0.5000  2 Co 2.31
Ag 0.5000 0.5000 0.5000  8 La 3.48, 4 Cu 3.67


Relative calculated energies, zero for the most stable structure, unit meV/atom: w) 0; x) 117.


w) Below is a geometry-optimized Co2CuAgRh structure, with properties calculated at the GGA-PBE level.

Space group = No. 123
Volume = 17.01 Å³/atom

Cell: 4.3178 4.3178 4.5606 Å, 90.00 90.00 90.00°
Closest atoms and distances in Å follow each position.
Sites, in units of the cell vectors:
Co 0.0000 0.5000 0.0000  2 Cu 2.16
Co 0.5000 0.0000 0.0000  2 Cu 2.16
Cu 0.0000 0.0000 0.0000  4 Co 2.16, 2 Rh 2.28
Ag 0.5000 0.5000 0.5000  4 Rh 3.05, 8 Co 3.14
Rh 0.0000 0.0000 0.5000  2 Cu 2.28


x) Below is a geometry-optimized Co2CuAgRh structure, with properties calculated at the GGA-PBE level.

Space group = No. 123
Volume = 20.60 Å³/atom

Cell: 4.5843 4.5843 4.9001 Å, 90.00 90.00 90.00°
Closest atoms and distances in Å follow each position.
Sites, in units of the cell vectors:
Co 0.0000 0.5000 0.0000  2 Ag 2.29
Co 0.5000 0.0000 0.0000  2 Ag 2.29
Cu 0.0000 0.0000 0.5000  4 Rh 3.24, 8 Co 3.36
Ag 0.5000 0.5000 0.0000  4 Co 2.29, 2 Rh 2.45
Rh 0.5000 0.5000 0.5000  2 Ag 2.45


Relative calculated energies, zero for the most stable structure, unit meV/atom: w) 0; x) 663.


w) Below is a geometry-optimized Dy2CoAg structure, with properties calculated at the GGA-PBE level.

Space group = No. 123
Volume = 21.39 Å³/atom

Cell: 3.3723 3.3723 7.5220 Å, 90.00 90.00 90.00°
Closest atoms and distances in Å follow each position.
Sites, in units of the cell vectors:
Dy 0.0000 0.0000 0.2194  4 Co 2.90, 4 Ag 3.18
Dy 0.0000 0.0000 0.7806  4 Co 2.90, 4 Ag 3.18
Co 0.5000 0.5000 0.0000  8 Dy 2.90
Ag 0.5000 0.5000 0.5000  8 Dy 3.18, 4 Ag 3.37


x) Below is a geometry-optimized Dy2CoAg structure, with properties calculated at the GGA-PBE level.

Space group = No. 166
Volume = 23.74 Å³/atom

Cell: 7.8324 7.8324 7.8324 Å, 28.22 28.22 28.22°
Closest atoms and distances in Å follow each position.
Sites, in units of the cell vectors:
Dy 0.2330 0.2330 0.2330  3 Co 2.66
Dy 0.7670 0.7670 0.7670  3 Co 2.66
Co 0.5000 0.5000 0.5000  6 Dy 2.66
Ag 0.0000 0.0000 0.0000  6 Dy 3.16


Relative calculated energies, zero for the most stable structure, unit meV/atom: w) 0; x) 140.


w) Below is a geometry-optimized Dy8CoAg2 structure, with properties calculated at the GGA-PBE level.

Space group = No. 8
Volume = 27.21 Å³/atom

Cell: 8.7393 8.7393 5.9985 Å, 103.13 103.13 129.49°
Closest atoms and distances in Å follow each position.
Sites, in units of the cell vectors:
Dy 0.0000 0.0000 0.0000  1 Co 2.58
Dy 0.0683 0.4596 0.2081  4 Ag 3.29-3.35, 6 Dy 3.49-3.63, 1 Co 3.56
Dy 0.1039 0.8814 0.5089  1 Co 2.71, 1 Ag 3.02
Dy 0.4144 0.6400 0.8745  1 Co 2.71, 1 Ag 2.97
Dy 0.4596 0.0683 0.2081  4 Ag 3.29-3.35, 6 Dy 3.49-3.63, 1 Co 3.56
Dy 0.5378 0.5378 0.3738  1 Co 2.53
Dy 0.6400 0.4144 0.8745  1 Co 2.71, 1 Ag 2.97
Dy 0.8814 0.1039 0.5089  1 Co 2.71, 1 Ag 3.02
Co 0.2658 0.2658 0.5026  6 Dy 2.53-2.71
Ag 0.5511 0.9844 0.7078  7 Dy 2.97-3.32
Ag 0.9844 0.5511 0.7078  7 Dy 2.97-3.32


x) Below is a geometry-optimized Dy8CoAg2 structure, with properties calculated at the GGA-PBE level.

Space group = No. 12
Volume = 26.45 Å³/atom

Cell: 9.0187 9.0187 6.7691 Å, 106.73 106.73 33.65°
Closest atoms and distances in Å follow each position.
Sites, in units of the cell vectors:
Dy 0.0264 0.0264 0.2906  1 Ag 2.91, 2 Co 3.07, 1 Dy 3.23
Dy 0.2008 0.2008 0.8062  1 Ag 2.89
Dy 0.3442 0.3442 0.5338  1 Co 2.77, 1 Ag 2.94
Dy 0.4112 0.4112 0.0736  1 Co 2.83
Dy 0.5888 0.5888 0.9264  1 Co 2.83
Dy 0.6558 0.6558 0.4662  1 Co 2.77, 1 Ag 2.94
Dy 0.7992 0.7992 0.1938  1 Ag 2.89
Dy 0.9736 0.9736 0.7094  1 Ag 2.91, 2 Co 3.07, 1 Dy 3.23
Co 0.5000 0.5000 0.5000  8 Dy 2.77-3.07
Ag 0.1844 0.1844 0.2183  5 Dy 2.89-3.22
Ag 0.8156 0.8156 0.7817  5 Dy 2.89-3.22


Relative calculated energies, zero for the most stable structure, unit meV/atom: w) 18; x) 0.


w) Below is a geometry-optimized Dy7Co2Ag2 structure, with properties calculated at the GGA-PBE level.

Space group = No. 44
Volume = 25.08 Å³/atom

Cell: 9.4079 9.4079 9.4079 Å, 157.63 66.02 118.79°
Closest atoms and distances in Å follow each position.
Sites, in units of the cell vectors:
Dy 0.0000 0.0000 0.0000  3 Ag 3.09-3.17
Dy 0.0700 0.3837 0.6863  3 Co 2.81-3.06
Dy 0.0842 0.7309 0.3533  2 Co 2.76
Dy 0.3777 0.7309 0.6467  2 Co 2.76
Dy 0.4482 0.5764 0.8718  2 Co 2.72
Dy 0.6974 0.3837 0.3137  3 Co 2.81-3.06
Dy 0.7046 0.5764 0.1282  2 Co 2.72
Co 0.3297 0.0859 0.2438  6 Dy 2.72-2.81
Co 0.8421 0.0859 0.7562  6 Dy 2.72-2.81
Ag 0.3305 0.3305 0.0000  7 Dy 3.10-3.17
Ag 0.7402 0.2402 0.5000  8 Dy 3.09-3.25


x) Below is a geometry-optimized Dy7Co2Ag2 structure, with properties calculated at the GGA-PBE level.

Space group = No. 65
Volume = 26.18 Å³/atom

Cell: 6.6350 6.6350 6.9521 Å, 90.00 90.00 109.82°
Closest atoms and distances in Å follow each position.
Sites, in units of the cell vectors:
Dy 0.0000 0.0000 0.0000  2 Co 3.20
Dy 0.0000 0.5000 0.2474  2 Co 2.61
Dy 0.0000 0.5000 0.7526  2 Co 2.61
Dy 0.5000 0.0000 0.2474  2 Co 2.61
Dy 0.5000 0.0000 0.7526  2 Co 2.61
Dy 0.5000 0.5000 0.2392  2 Co 2.78, 2 Ag 3.05
Dy 0.5000 0.5000 0.7608  2 Co 2.78, 2 Ag 3.05
Co 0.2943 0.7057 0.0000  6 Dy 2.61-2.78
Co 0.7057 0.2943 0.0000  6 Dy 2.61-2.78
Ag 0.1793 0.1793 0.5000  1 Ag 2.74, 2 Dy 3.05
Ag 0.8207 0.8207 0.5000  1 Ag 2.74, 2 Dy 3.05


Relative calculated energies, zero for the most stable structure, unit meV/atom: w) 0; x) 75.


w) Below is a geometry-optimized Dy4CoAg structure, with properties calculated at the GGA-PBE level.

Space group = No. 109
Volume = 29.96 Å³/atom

Cell: 7.7782 7.7782 7.7782 Å, 106.70 106.70 115.16°
Closest atoms and distances in Å follow each position.
Sites, in units of the cell vectors:
Dy 0.1376 0.4466 0.6910  1 Co 2.59, 1 Ag 2.88
Dy 0.1966 0.0057 0.8090  1 Co 2.59, 1 Ag 2.88
Dy 0.1966 0.3876 0.1910  1 Co 2.59, 1 Ag 2.88
Dy 0.2929 0.0000 0.2929  2 Co 2.66-2.73, 1 Ag 2.97
Dy 0.7071 0.0000 0.7071  2 Co 2.66-2.73, 1 Ag 2.97
Dy 0.7500 0.5429 0.7929  2 Co 2.66-2.73, 1 Ag 2.97
Dy 0.7500 0.9571 0.2071  2 Co 2.66-2.73, 1 Ag 2.97
Dy 0.7557 0.4466 0.3090  1 Co 2.59, 1 Ag 2.88
Co 0.7207 0.2207 0.5000  6 Dy 2.59-2.73
Co 0.9707 0.9707 0.0000  6 Dy 2.59-2.73
Ag 0.2293 0.7293 0.5000  6 Dy 2.88-2.97
Ag 0.4793 0.4793 0.0000  6 Dy 2.88-2.97


x) Below is a geometry-optimized Dy4CoAg structure, with properties calculated at the GGA-PBE level.

Space group = No. 216
Volume = 24.42 Å³/atom

Cell: 9.3937 9.3937 9.3937 Å, 60.00 60.00 60.00°
Closest atoms and distances in Å follow each position.
Sites, in units of the cell vectors:
Dy 0.0617 0.0617 0.4383  2 Co 2.73
Dy 0.0617 0.4383 0.0617  2 Co 2.73
Dy 0.0617 0.4383 0.4383  2 Co 2.73
Dy 0.1877 0.1877 0.8123  2 Ag 3.18, 2 Co 3.39, 10 Dy 3.39-3.53
Dy 0.1877 0.8123 0.1877  2 Ag 3.18, 2 Co 3.39, 10 Dy 3.39-3.53
Dy 0.1877 0.8123 0.8123  2 Ag 3.18, 2 Co 3.39, 10 Dy 3.39-3.53
Dy 0.2058 0.5981 0.5981  3 Co 2.75
Dy 0.4383 0.0617 0.0617  2 Co 2.73
Dy 0.4383 0.0617 0.4383  2 Co 2.73
Dy 0.4383 0.4383 0.0617  2 Co 2.73
Dy 0.5981 0.2058 0.5981  3 Co 2.75
Dy 0.5981 0.5981 0.2058  3 Co 2.75
Dy 0.5981 0.5981 0.5981  3 Co 2.75
Dy 0.8123 0.1877 0.1877  2 Ag 3.18, 2 Co 3.39, 10 Dy 3.39-3.53
Dy 0.8123 0.1877 0.8123  2 Ag 3.18, 2 Co 3.39, 10 Dy 3.39-3.53
Dy 0.8123 0.8123 0.1877  2 Ag 3.18, 2 Co 3.39, 10 Dy 3.39-3.53
Co 0.3914 0.3914 0.3914  6 Dy 2.73-2.75
Co 0.3914 0.3914 0.8259  6 Dy 2.73-2.75
Co 0.3914 0.8259 0.3914  6 Dy 2.73-2.75
Co 0.8259 0.3914 0.3914  6 Dy 2.73-2.75
Ag 0.5061 0.8313 0.8313  3 Ag 3.06, 9 Dy 3.18-3.42
Ag 0.8313 0.5061 0.8313  3 Ag 3.06, 9 Dy 3.18-3.42
Ag 0.8313 0.8313 0.5061  3 Ag 3.06, 9 Dy 3.18-3.42
Ag 0.8313 0.8313 0.8313  3 Ag 3.06, 9 Dy 3.18-3.42


Relative calculated energies, zero for the most stable structure, unit meV/atom: w) 244; x) 0.


w) Below is a geometry-optimized DyHoCoAg structure, with properties calculated at the GGA-PBE level.

Space group = No. 216
Volume = 21.17 Å³/atom

Cell: 4.9288 4.9288 4.9288 Å, 60.00 60.00 60.00°
Closest atoms and distances in Å follow each position.
Sites, in units of the cell vectors:
Dy 0.0000 0.0000 0.0000  4 Co 3.02, 4 Ag 3.02
Ho 0.5000 0.5000 0.5000  4 Co 3.02, 4 Ag 3.02
Co 0.7500 0.7500 0.7500  4 Dy 3.02, 4 Ho 3.02
Ag 0.2500 0.2500 0.2500  4 Ho 3.02, 4 Dy 3.02


x) Below is a geometry-optimized DyHoCoAg structure, with properties calculated at the GGA-PBE level.

Space group = No. 99
Volume = 21.24 Å³/atom

Cell: 3.3631 3.3631 7.5119 Å, 90.00 90.00 90.00°
Closest atoms and distances in Å follow each position.
Sites, in units of the cell vectors:
Dy 0.0000 0.0000 0.0000  4 Co 2.90, 4 Ag 3.19
Ho 0.0000 0.0000 0.5616  4 Co 2.89, 4 Ag 3.17
Co 0.5000 0.5000 0.7795  4 Ho 2.89, 4 Dy 2.90
Ag 0.5000 0.5000 0.2831  4 Ho 3.17, 4 Dy 3.19, 4 Ag 3.36


Relative calculated energies, zero for the most stable structure, unit meV/atom: w) 64; x) 0.


w) Below is a geometry-optimized DyScCoAg structure, with properties calculated at the GGA-PBE level.

Space group = No. 216
Volume = 19.58 Å³/atom

Cell: 4.8021 4.8021 4.8021 Å, 60.00 60.00 60.00°
Closest atoms and distances in Å follow each position.
Sites, in units of the cell vectors:
Dy 0.0000 0.0000 0.0000  4 Co 2.94, 4 Ag 2.94
Sc 0.5000 0.5000 0.5000  4 Co 2.94, 4 Ag 2.94
Co 0.2500 0.2500 0.2500  4 Dy 2.94, 4 Sc 2.94
Ag 0.7500 0.7500 0.7500  4 Dy 2.94, 4 Sc 2.94


x) Below is a geometry-optimized DyScCoAg structure, with properties calculated at the GGA-PBE level.

Space group = No. 99
Volume = 19.47 Å³/atom

Cell: 3.2435 3.2435 7.4042 Å, 90.00 90.00 90.00°
Closest atoms and distances in Å follow each position.
Sites, in units of the cell vectors:
Dy 0.0000 0.0000 0.0000  4 Co 2.88, 1 Sc 3.20
Sc 0.0000 0.0000 0.5682  4 Co 2.71, 4 Ag 3.00
Co 0.5000 0.5000 0.7643  4 Sc 2.71, 4 Dy 2.88
Ag 0.5000 0.5000 0.3070  4 Sc 3.00, 4 Dy 3.23, 4 Ag 3.24


Relative calculated energies, zero for the most stable structure, unit meV/atom: w) 88; x) 0.